# GeW2C, relaxed, DFT PBE-GGA
# Volume   651.2 Å³/cell
# Total DFT energy (no corrections)   -9.77 eV per atom
data_GeW2C
_space_group_name_H-M_alt 'C 1 2/c 1'
_space_group_IT_number 15
_space_group_name_Hall '-C 2yc'
_cell_length_a 9.498
_cell_length_b 5.477
_cell_length_c 12.917
_cell_angle_alpha 90.00
_cell_angle_beta 104.26
_cell_angle_gamma 90.00
loop_
_atom_site_label
_atom_site_type_symbol
_atom_site_fract_x
_atom_site_fract_y
_atom_site_fract_z
Ge1 Ge 0.000 0.086 0.250
Ge2 Ge 0.165 0.420 0.750
W1 W 0.055 0.416 0.411
W2 W 0.114 0.081 0.591
W3 W 0.219 0.085 0.909
C1 C 0.083 0.250 0.000
C2 C 0.250 0.250 0.500